Entry 1:
An optimized crystal structure of CuSnAs2. Source: the Alexandria database, functional PBE.

a b c (Å): 6.588 6.588 6.588
angles (deg): 34.64 34.64 34.64
Element x y z (fractional)
Cu (0.000, 0.000, 0.000)
Sn (0.835, 0.835, 0.835)
As (0.395, 0.395, 0.395)
As (0.604, 0.604, 0.604)

Properties
Electronic total energy (Ry per atom): -0.3120
Space group: No. 160

=====

Entry 2:
An optimized crystal structure of CuSnAs2. Source: the Alexandria database, functional PBE.

a b c (Å): 7.162 7.162 7.162
angles (deg): 132.20 132.20 69.91
Element x y z (fractional)
Cu (0.000, 0.000, 0.000)
Cu (0.750, 0.250, 0.500)
Sn (0.250, 0.750, 0.500)
Sn (0.500, 0.500, 0.000)
As (0.081, 0.625, 0.956)
As (0.375, 0.331, 0.456)
As (0.669, 0.125, 0.044)
As (0.875, 0.919, 0.544)

Properties
Electronic total energy (Ry per atom): -0.3207
Space group: No. 122

=====

Entry 3:
An optimized crystal structure of Cu2Sn2As3. Source: the Alexandria database, functional PBE.

a b c (Å): 6.407 6.407 6.981
angles (deg): 106.94 106.94 35.55
Element x y z (fractional)
Cu (0.181, 0.181, 0.410)
Cu (0.819, 0.819, 0.590)
Sn (0.365, 0.365, 0.222)
Sn (0.635, 0.635, 0.778)
As (0.000, 0.000, 0.500)
As (0.318, 0.318, 0.794)
As (0.682, 0.682, 0.206)

Properties
Electronic total energy (Ry per atom): -0.3099
Space group: No. 12

=====

Entry 4:
An optimized crystal structure of Cu2Sn2As. Source: the Alexandria database, functional PBE.

a b c (Å): 6.908 6.908 4.056
angles (deg): 90.00 90.00 90.00
Element x y z (fractional)
Cu (0.129, 0.371, 0.000)
Cu (0.371, 0.871, 0.000)
Cu (0.629, 0.129, 0.000)
Cu (0.871, 0.629, 0.000)
Sn (0.173, 0.673, 0.500)
Sn (0.327, 0.173, 0.500)
Sn (0.673, 0.827, 0.500)
Sn (0.827, 0.327, 0.500)
As (0.000, 0.000, 0.000)
As (0.500, 0.500, 0.000)

Properties
Offset from the most stable computed form (meV/atom): 0
Space group: No. 127